[1]
A plane-wave DFT calculation with PBE-GGA was carried out for BIrPd after structural relaxation.

Cell lengths 3.779, 3.779, 3.779 Å; angles 60.00, 60.00, 60.00 degrees
Positions (direct):
B1 0.000 0.000 0.000
Ir1 0.250 0.250 0.250
Pd1 0.750 0.750 0.750

Output
Energy relative to the elements, eV/atom: -0.0160
Space-group type: F-43m
Excess energy over the best structure of this formula in the dataset, eV per atom: 0.259
DFT total energy, eV per atom: -6.9265

[2]
A plane-wave DFT calculation with PBE-GGA was carried out for K2PbClO after structural relaxation.

Cell lengths 5.475, 5.475, 4.811 Å; angles 90.00, 90.00, 90.00 degrees
Positions (direct):
K1 0.000 0.500 0.000
K2 0.500 0.000 0.000
Pb1 0.000 0.000 0.500
Cl1 0.500 0.500 0.500
O1 0.000 0.000 0.000

Output
Space-group type: P4/mmm
DFT total energy, eV per atom: -3.5645
Formation energy without anion corrections, eV per atom: -1.023

[3]
A plane-wave DFT calculation with PBE-GGA was carried out for Te4IrPd after structural relaxation.

Cell lengths 6.700, 4.118, 7.025 Å; angles 90.00, 118.43, 90.00 degrees
Positions (direct):
Te1 0.205 0.000 0.431
Te2 0.281 0.500 0.060
Te3 0.719 0.500 0.940
Te4 0.795 0.000 0.569
Ir1 0.000 0.000 0.000
Pd1 0.500 0.500 0.500

Output
Space-group type: P2/m
Excess energy over the best structure of this formula in the dataset, eV per atom: 0.000
DFT total energy, eV per atom: -4.7079
Formation energy without anion corrections, eV per atom: -0.271

[4]
A plane-wave DFT calculation with PBE-GGA was carried out for CeMgZn after structural relaxation.

Cell lengths 4.259, 4.484, 7.290 Å; angles 90.00, 107.04, 90.00 degrees
Positions (direct):
Ce1 0.059 0.250 0.119
Ce2 0.941 0.750 0.881
Mg1 0.250 0.750 0.499
Mg2 0.750 0.250 0.501
Zn1 0.388 0.250 0.775
Zn2 0.612 0.750 0.225

Output
Energy relative to the elements, eV/atom: -0.1541
Space-group type: P2_1/m
DFT total energy, eV per atom: -3.0882